Below is an optimized crystal structure of Na3Cr3GaO8, with properties calculated at the PBE+U level.

SG = C2/m (12)
spin magnetization = 0.533 μB per atom
total energy = -6.43 eV/atom

Cell and atoms, written as POSCAR:
```
Na3Cr3GaO8
1.0
5.2057 -2.9942 0.0000
5.2057 2.9942 0.0000
-3.4492 0.0000 5.4550
Na Cr Ga O
3 3 1 8
direct
0.0000 0.0000 0.0000 Na
0.0000 0.5000 0.0000 Na
0.5000 0.0000 0.0000 Na
0.0000 0.5000 0.5000 Cr
0.5000 0.0000 0.5000 Cr
0.5000 0.5000 0.5000 Cr
0.0000 0.0000 0.5000 Ga
0.2222 0.2222 0.6859 O
0.2422 0.7212 0.6899 O
0.2693 0.2693 0.3030 O
0.2788 0.7578 0.3101 O
0.7212 0.2422 0.6899 O
0.7307 0.7307 0.6970 O
0.7578 0.2788 0.3101 O
0.7778 0.7778 0.3141 O
```